(1)
This record from Alexandria via LeMat-Bulk describes a relaxed CaCoB4 crystal. The functional is PBE.

Cell: 3.316 5.930 11.477 Å, 90.00 90.00 90.00°
Atoms (fractional coordinates):
1 B 0.500 0.975 0.310
2 B 0.500 0.475 0.190
3 Ca 0.000 0.127 0.151
4 Co 0.000 0.866 0.588
5 B 0.500 0.281 0.317
6 B 0.500 0.360 0.469
7 B 0.500 0.719 0.683
8 Co 0.000 0.134 0.412
9 B 0.500 0.025 0.690
10 B 0.500 0.389 0.046
11 B 0.500 0.889 0.454
12 Ca 0.000 0.873 0.849
13 Co 0.000 0.366 0.912
14 B 0.500 0.111 0.546
15 Ca 0.000 0.373 0.651
16 B 0.500 0.140 0.969
17 B 0.500 0.525 0.810
18 B 0.500 0.640 0.531
19 Ca 0.000 0.627 0.349
20 B 0.500 0.781 0.183
21 B 0.500 0.611 0.954
22 B 0.500 0.860 0.031
23 B 0.500 0.219 0.817
24 Co 0.000 0.634 0.088

Results
* SG: Pbam, No. 55
* uncorrected energy: -6.31 eV per atom
* Fermi-level density of states: 1.26 states/eV/f.u.

=====

(2)
This record from Alexandria via LeMat-Bulk describes a relaxed Mg2TlFe crystal. The functional is PBE.

Cell: 4.743 4.743 4.743 Å, 60.00 60.00 60.00°
Atoms (fractional coordinates):
1 Mg 0.250 0.250 0.250
2 Fe 0.500 0.500 0.500
3 Tl 0.750 0.750 0.750
4 Mg 0.000 0.000 0.000

Results
* SG: F-43m, No. 216
* distance to the lowest polymorph of the same formula: 0.152 eV per atom
* Fermi-level density of states: 5.95 states/eV/f.u.

=====

(3)
This record from Alexandria via LeMat-Bulk describes a relaxed TbPmHo6 crystal. The functional is PBE.

Cell: 5.013 5.013 10.022 Å, 90.00 90.00 90.00°
Atoms (fractional coordinates):
1 Ho 0.000 0.500 0.248
2 Tb 0.000 0.000 0.000
3 Ho 0.500 0.000 0.248
4 Ho 0.500 0.500 0.000
5 Pm 0.000 0.000 0.500
6 Ho 0.500 0.000 0.752
7 Ho 0.500 0.500 0.500
8 Ho 0.000 0.500 0.752

Results
* SG: P4/mmm, No. 123
* distance to the lowest polymorph of the same formula: 0.000 eV per atom
* Fermi-level density of states: 11.38 states/eV/f.u.

=====

(4)
This record from Alexandria via LeMat-Bulk describes a relaxed MgInSb crystal. The functional is PBE.

Cell: 5.228 5.228 3.338 Å, 90.00 90.00 120.00°
Atoms (fractional coordinates):
1 Mg 0.667 0.333 0.503
2 Sb 0.333 0.667 0.497
3 In 0.000 0.000 0.000

Results
* SG: P3m1, No. 156
* E_form (uncorrected): -32 meV/atom
* Fermi-level density of states: 1.58 states/eV/f.u.

=====

(5)
This record from Alexandria via LeMat-Bulk describes a relaxed La2Sc2Sn crystal. The functional is PBE.

Cell: 7.770 7.770 4.867 Å, 90.00 90.00 90.00°
Atoms (fractional coordinates):
1 Sn 0.000 0.000 0.000
2 Sc 0.856 0.644 0.000
3 Sc 0.144 0.356 0.000
4 Sc 0.356 0.856 0.000
5 Sn 0.500 0.500 0.000
6 Sc 0.644 0.144 0.000
7 La 0.659 0.841 0.500
8 La 0.841 0.341 0.500
9 La 0.159 0.659 0.500
10 La 0.341 0.159 0.500

Results
* SG: P4/mbm, No. 127
* uncorrected energy: -5.56 eV per atom
* Fermi-level density of states: 5.71 states/eV/f.u.

=====

(6)
This record from Alexandria via LeMat-Bulk describes a relaxed SrAc2Ce3Se6 crystal. The functional is PBE.

Cell: 4.308 8.737 9.725 Å, 103.63 102.80 90.00°
Atoms (fractional coordinates):
1 Ac 0.168 0.335 0.336
2 Ce 0.500 0.500 0.000
3 Ac 0.832 0.665 0.664
4 Se 0.662 0.591 0.324
5 Ce 0.168 0.831 0.335
6 Se 0.668 0.072 0.335
7 Ce 0.832 0.169 0.665
8 Sr 0.500 0.000 0.000
9 Se 0.997 0.254 0.994
10 Se 0.338 0.409 0.676
11 Se 0.332 0.928 0.665
12 Se 0.003 0.746 0.006

Results
* SG: C2/m, No. 12
* E_form (uncorrected): -1843 meV/atom
* Fermi-level density of states: 21.18 states/eV/f.u.

=====

(7)
This record from Alexandria via LeMat-Bulk describes a relaxed SrTc2 crystal. The functional is PBE.

Cell: 5.802 5.802 7.462 Å, 87.94 87.94 34.43°
Atoms (fractional coordinates):
1 Tc 0.945 0.945 0.620
2 Tc 0.319 0.319 0.788
3 Tc 0.684 0.684 0.668
4 Tc 0.550 0.550 0.430
5 Sr 0.049 0.049 0.012
6 Sr 0.286 0.286 0.315

Results
* SG: Cm, No. 8
* distance to the lowest polymorph of the same formula: 0.261 eV per atom
* Fermi-level density of states: 2.37 states/eV/f.u.

=====

(8)
This record from Alexandria via LeMat-Bulk describes a relaxed KGaCl2F crystal. The functional is PBE.

Cell: 5.229 5.229 4.194 Å, 90.00 90.00 90.00°
Atoms (fractional coordinates):
1 F 0.000 0.000 0.500
2 Cl 0.500 0.000 0.000
3 K 0.500 0.500 0.500
4 Ga 0.000 0.000 0.000
5 Cl 0.000 0.500 0.000

Results
* SG: P4/mmm, No. 123
* E_form (uncorrected): -1666 meV/atom
* Fermi-level density of states: 1.09 states/eV/f.u.

=====

Q: Which of these has the lowest Fermi-level density of states?
A: KGaCl2F

=====

Q: Fermi-level density of states of number 4 (MgInSb)?
A: 1.58 states/eV/f.u.

=====

Q: The highest Fermi-level density of states belongs to which entry?
A: SrAc2Ce3Se6

=====

Q: Which formula does entry 3 have?
A: TbPmHo6